1.
Material: AsS2N2
Method: DFT, GGA-PBE
State: optimized geometry

The structure belongs to space group P4/mmm (No. 123); the cell edges are 4.8683, 4.8683 and 3.7022 Å and the angles 90.00°, 90.00° and 90.00°. The asymmetric unit holds As at (0.0000, 0.0000, 0.0000), S at (0.0000, 0.5000, 0.0000), N at (0.0000, 0.0000, 0.5000) and N at (0.5000, 0.5000, 0.5000).

As for the density of states at the Fermi level: 4.24 states/eV/cell. For the size of the total moment, the calculation gives 0.33 μB/f.u. The total energy comes out at -3.823 eV per atom. As for the energy relative to the elements, uncorrected: 2.09 eV per atom.

=====

2.
Material: AsS2N
Method: DFT, GGA-PBE
State: optimized geometry

The structure belongs to space group R-3m (No. 166, hexagonal axes); the cell edges are 3.1174, 3.1174 and 22.8000 Å and the angles 90.00°, 90.00° and 120.00°. The asymmetric unit holds As at (0.0000, 0.0000, 0.0000), S at (0.0000, 0.0000, 0.1092) and N at (0.0000, 0.0000, 0.5000).

As for the density of states at the Fermi level: 5.12 states/eV/cell. For the size of the total moment, the calculation gives 0.00 μB/f.u. The total energy comes out at -4.015 eV per atom. As for the energy relative to the elements, uncorrected: 1.29 eV per atom.

=====

3.
Material: AsS2N
Method: DFT, GGA-PBE
State: optimized geometry

The structure belongs to space group I-42d (No. 122); the cell edges are 4.9761, 4.9761 and 11.6434 Å and the angles 90.00°, 90.00° and 90.00°. The asymmetric unit holds As at (0.0000, 0.0000, 0.0000), S at (0.1317, 0.2500, 0.6250) and N at (0.0000, 0.0000, 0.5000).

As for the density of states at the Fermi level: 9.23 states/eV/cell. For the size of the total moment, the calculation gives 0.00 μB/f.u. The total energy comes out at -4.146 eV per atom. As for the energy relative to the elements, uncorrected: 1.16 eV per atom.

=====

Question: What is the size of the total moment in the second record?
Answer: 0.00 μB/f.u.